! BTe3C | Alexandria via LeMat-Bulk | PBE | relaxed; values from VASP
! Space-group type: Pm-3m
! Energy relative to the elements, uncorrected, eV per atom: 1.741
! DOS at the Fermi energy, states/eV per cell: 3.0
! Polymorph energy (0 for the lowest one), meV per atom: 0
&SYSTEM
  ibrav = 0, nat = 5, ntyp = 3
/
ATOMIC_SPECIES
C 12.01 C.upf
Te 127.60 Te.upf
B 10.81 B.upf
CELL_PARAMETERS angstrom
-0.494 0.174 -4.725
-4.715 -0.371 0.480
-0.351 4.737 0.211
ATOMIC_POSITIONS crystal
C 0.000 0.000 0.000
Te 0.000 0.500 0.000
Te 0.000 0.000 0.500
Te 0.500 0.000 0.000
B 0.500 0.500 0.500